A geometry-optimized SbTe2Mo structure. Source: Alexandria via LeMat-Bulk, functional PBE-GGA.

a b c (Å): 12.9439 12.9439 12.9439
angles (deg): 13.83 13.83 13.83
Last column: nearest neighbours and their distance in Å.
Fractional positions:
1 Sb 0.0000 0.0000 0.0000  6 Sb 3.12
2 Te 0.4290 0.4290 0.4290  1 Mo 2.73
3 Te 0.5710 0.5710 0.5710  1 Mo 2.73
4 Mo 0.5000 0.5000 0.5000  2 Te 2.73

Properties
**ΔE_f (raw)**: 0.72 eV/atom
**Total energy**: -4.59 eV per atom
**Total magnetic moment**: 0.0 μB/cell